{
  "formula": "TlFeAg2",
  "functional": "PBE-GGA",
  "state": "optimized geometry",
  "ef_ev_per_atom": 0.446,
  "crystal_system": "orthorhombic",
  "polymorph_energy_ev_per_atom": 0.076,
  "dos_at_fermi_per_ev_atom": 0.673,
  "cell": [[-4.168, -2.231, 2.996], [-2.764, -4.301, -2.278], [4.889, 1.999, 1.851]],
  "species": ["Ag", "Ag", "Tl", "Fe"],
  "frac_coords": [[0.003, 0.003, 0.000], [0.263, 0.763, 0.500], [0.738, 0.238, 0.500], [0.497, 0.497, 0.000]]
}